The following is a DFT calculation (PBE) of crystalline Er4InSn at its relaxed geometry.

Space group ... P-1 (2)
N(E_F) ... 10.79 states/eV/cell
E_form ... -0.2258 eV per atom
Electronic total energy ... -4.391 eV/atom

Cell and atoms, written as CIF:
```
data_Er4InSn
_symmetry_space_group_name_H-M 'P 1'
_symmetry_Int_Tables_number 1
_cell_length_a 5.093
_cell_length_b 8.833
_cell_length_c 8.607
_cell_angle_alpha 99.81
_cell_angle_beta 107.19
_cell_angle_gamma 90.01
loop_
_symmetry_equiv_pos_as_xyz
'x,y,z'
loop_
_atom_site_label
_atom_site_fract_x
_atom_site_fract_y
_atom_site_fract_z
_atom_site_occupancy
Er1 0.192 0.564 0.883 1
Er2 0.574 0.358 0.647 1
Er3 0.926 0.142 0.353 1
Er4 0.309 0.936 0.117 1
Er5 0.808 0.436 0.117 1
Er6 0.426 0.642 0.353 1
Er7 0.074 0.858 0.647 1
Er8 0.691 0.064 0.883 1
In1 0.500 0.000 0.500 1
In2 0.000 0.500 0.500 1
Sn1 0.750 0.750 0.000 1
Sn2 0.250 0.250 0.000 1
```

The following is a DFT calculation (PBE) of crystalline Er5In2Sn at its relaxed geometry.

Space group ... I4/mcm (140)
N(E_F) ... 13.21 states/eV/cell
E_form ... -0.4547 eV per atom
Electronic total energy ... -4.491 eV/atom

Cell and atoms, written as CIF:
```
data_Er5In2Sn
_symmetry_space_group_name_H-M 'P 1'
_symmetry_Int_Tables_number 1
_cell_length_a 8.219
_cell_length_b 8.219
_cell_length_c 8.776
_cell_angle_alpha 117.92
_cell_angle_beta 117.92
_cell_angle_gamma 90.00
loop_
_symmetry_equiv_pos_as_xyz
'x,y,z'
loop_
_atom_site_label
_atom_site_fract_x
_atom_site_fract_y
_atom_site_fract_z
_atom_site_occupancy
Er1 0.308 0.808 0.305 1
Er2 0.000 0.000 0.000 1
Er3 0.504 0.692 0.695 1
Er4 0.808 0.996 0.305 1
Er5 0.996 0.496 0.305 1
Er6 0.192 0.004 0.695 1
Er7 0.692 0.192 0.695 1
Er8 0.004 0.504 0.695 1
Er9 0.496 0.308 0.305 1
Er10 0.500 0.500 0.000 1
In1 0.640 0.140 0.000 1
In2 0.860 0.640 0.000 1
In3 0.140 0.360 0.000 1
In4 0.360 0.860 0.000 1
Sn1 0.750 0.750 0.500 1
Sn2 0.250 0.250 0.500 1
```

The following is a DFT calculation (PBE) of crystalline Er4In2Sn at its relaxed geometry.

Space group ... P2_1/m (11)
N(E_F) ... 12.31 states/eV/cell
E_form ... -0.3905 eV per atom
Electronic total energy ... -4.352 eV/atom

Cell and atoms, written as CIF:
```
data_Er4In2Sn
_symmetry_space_group_name_H-M 'P 1'
_symmetry_Int_Tables_number 1
_cell_length_a 5.609
_cell_length_b 6.523
_cell_length_c 11.103
_cell_angle_alpha 90.00
_cell_angle_beta 108.92
_cell_angle_gamma 90.00
loop_
_symmetry_equiv_pos_as_xyz
'x,y,z'
loop_
_atom_site_label
_atom_site_fract_x
_atom_site_fract_y
_atom_site_fract_z
_atom_site_occupancy
Er1 0.205 0.750 0.446 1
Er2 0.404 0.494 0.733 1
Er3 0.997 0.750 0.872 1
Er4 0.404 0.006 0.733 1
Er5 0.596 0.506 0.267 1
Er6 0.795 0.250 0.554 1
Er7 0.596 0.994 0.267 1
Er8 0.003 0.250 0.128 1
In1 0.786 0.750 0.568 1
In2 0.565 0.750 0.994 1
In3 0.435 0.250 0.006 1
In4 0.214 0.250 0.432 1
Sn1 0.933 0.250 0.833 1
Sn2 0.067 0.750 0.167 1
```

The following is a DFT calculation (PBE) of crystalline ErInSn2 at its relaxed geometry.

Energy above the lowest structure with this stoichiometry ... 3 kJ/mol of formula units
Space group ... I4/mmm (139)
N(E_F) ... 1.47 states/eV/cell
E_form ... -0.3837 eV per atom
Electronic total energy ... -4.210 eV/atom

Cell and atoms, written as CIF:
```
data_ErInSn2
_symmetry_space_group_name_H-M 'P 1'
_symmetry_Int_Tables_number 1
_cell_length_a 4.547
_cell_length_b 4.540
_cell_length_c 5.885
_cell_angle_alpha 112.69
_cell_angle_beta 112.73
_cell_angle_gamma 90.00
loop_
_symmetry_equiv_pos_as_xyz
'x,y,z'
loop_
_atom_site_label
_atom_site_fract_x
_atom_site_fract_y
_atom_site_fract_z
_atom_site_occupancy
Sn1 0.250 0.750 0.500 1
Sn2 0.750 0.250 0.500 1
In1 0.500 0.500 0.000 1
Er1 0.000 0.000 0.000 1
```

The following is a DFT calculation (PBE) of crystalline ErInSn2 at its relaxed geometry.

Energy above the lowest structure with this stoichiometry ... 90 kJ/mol of formula units
Space group ... Fm-3m (225)
N(E_F) ... 2.76 states/eV/cell
E_form ... -0.1594 eV per atom
Electronic total energy ... -3.986 eV/atom

Cell and atoms, written as CIF:
```
data_ErInSn2
_symmetry_space_group_name_H-M 'P 1'
_symmetry_Int_Tables_number 1
_cell_length_a 5.351
_cell_length_b 5.351
_cell_length_c 5.356
_cell_angle_alpha 60.03
_cell_angle_beta 60.03
_cell_angle_gamma 60.00
loop_
_symmetry_equiv_pos_as_xyz
'x,y,z'
loop_
_atom_site_label
_atom_site_fract_x
_atom_site_fract_y
_atom_site_fract_z
_atom_site_occupancy
Er1 0.500 0.500 0.500 1
In1 0.000 0.000 0.000 1
Sn1 0.250 0.250 0.250 1
Sn2 0.750 0.750 0.750 1
```

The following is a DFT calculation (PBE) of crystalline Er5In2Sn2 at its relaxed geometry.

Space group ... Cmce (64)
N(E_F) ... 12.17 states/eV/cell
E_form ... -0.5479 eV per atom
Electronic total energy ... -4.581 eV/atom

Cell and atoms, written as CIF:
```
data_Er5In2Sn2
_symmetry_space_group_name_H-M 'P 1'
_symmetry_Int_Tables_number 1
_cell_length_a 8.001
_cell_length_b 8.110
_cell_length_c 8.774
_cell_angle_alpha 117.52
_cell_angle_beta 90.00
_cell_angle_gamma 90.00
loop_
_symmetry_equiv_pos_as_xyz
'x,y,z'
loop_
_atom_site_label
_atom_site_fract_x
_atom_site_fract_y
_atom_site_fract_z
_atom_site_occupancy
Er1 0.500 0.500 0.000 1
Er2 0.672 0.035 0.721 1
Er3 0.172 0.465 0.279 1
Er4 0.000 0.000 0.000 1
Er5 0.828 0.814 0.279 1
Er6 0.828 0.535 0.721 1
Er7 0.672 0.314 0.279 1
Er8 0.172 0.186 0.721 1
Er9 0.328 0.686 0.721 1
Er10 0.328 0.965 0.279 1
In1 0.127 0.627 0.000 1
In2 0.627 0.873 0.000 1
In3 0.873 0.373 0.000 1
In4 0.373 0.127 0.000 1
Sn1 0.000 0.207 0.413 1
Sn2 0.500 0.707 0.413 1
Sn3 0.000 0.793 0.587 1
Sn4 0.500 0.293 0.587 1
```